Model w:
Density functional theory data (PBE) for crystalline MnPbCl2 at its relaxed geometry.

Summary:
- total magnetic moment (μB/f.u.) = 4.64
- symmetry = Pmmm

Structure (POSCAR):
```
MnPbCl2
1.0
3.489 0.000 0.000
0.000 4.600 0.000
0.000 0.000 5.967
Mn Pb Cl
1 1 2
Cartesian
0.000 0.000 0.000
1.744 0.000 2.983
0.000 2.300 2.983
1.744 2.300 0.000
```

***

Model x:
Density functional theory data (PBE) for crystalline MnPbCl2 at its relaxed geometry.

Summary:
- total magnetic moment (μB/f.u.) = 4.70
- symmetry = I4/mmm

Structure (POSCAR):
```
MnPbCl2
1.0
4.695 0.000 0.000
0.000 4.695 0.000
0.000 0.000 8.604
Mn Pb Cl
2 2 4
Cartesian
0.000 0.000 0.000
2.348 2.348 4.302
0.000 0.000 4.302
2.348 2.348 0.000
0.000 2.348 2.151
0.000 2.348 6.453
2.348 0.000 2.151
2.348 0.000 6.453
```

***

The structure with the greatest stability is model w.

***

Model w:
Density functional theory data (PBE) for crystalline MnPbCl2 at its relaxed geometry.

Summary:
- total magnetic moment (μB/f.u.) = 5.01
- symmetry = P4/mmm

Structure (POSCAR):
```
MnPbCl2
1.0
4.723 0.000 0.000
0.000 4.723 0.000
0.000 0.000 4.322
Mn Pb Cl
1 1 2
Cartesian
0.000 0.000 0.000
2.362 2.362 0.000
0.000 2.362 2.161
2.362 0.000 2.161
```

***

Model x:
Density functional theory data (PBE) for crystalline MnPbCl2 at its relaxed geometry.

Summary:
- total magnetic moment (μB/f.u.) = 4.34
- symmetry = C2/m

Structure (POSCAR):
```
MnPbCl2
1.0
6.940 0.000 0.000
0.000 9.607 0.000
-1.635 0.000 2.955
Mn Pb Cl
2 2 4
Cartesian
0.000 0.000 0.000
3.470 4.804 0.000
0.000 4.804 0.000
3.470 0.000 0.000
-0.817 1.803 1.478
-0.817 7.805 1.478
2.653 3.001 1.478
2.653 6.606 1.478
```

***

The structure with the greatest stability is model x.

***

Model w:
Density functional theory data (PBE) for crystalline MnPb2Cl at its relaxed geometry.

Summary:
- total magnetic moment (μB/f.u.) = 3.49
- symmetry = P2/m

Structure (POSCAR):
```
MnPb2Cl
1.0
3.478 0.000 0.000
0.000 3.468 0.000
-0.955 0.000 8.270
Mn Pb Cl
1 2 1
Cartesian
0.000 0.000 0.000
0.789 1.734 6.426
1.734 1.734 1.844
-0.478 0.000 4.135
```

***

Model x:
Density functional theory data (PBE) for crystalline MnPb2Cl at its relaxed geometry.

Summary:
- total magnetic moment (μB/f.u.) = 4.35
- symmetry = P4mm

Structure (POSCAR):
```
MnPb2Cl
1.0
3.329 0.000 0.000
0.000 3.329 0.000
0.000 0.000 9.658
Mn Pb Cl
1 2 1
Cartesian
0.000 0.000 0.000
0.000 0.000 4.815
1.664 1.664 2.168
1.664 1.664 8.363
```

***

Model y:
Density functional theory data (PBE) for crystalline MnPb2Cl at its relaxed geometry.

Summary:
- total magnetic moment (μB/f.u.) = 4.24
- symmetry = C2/m

Structure (POSCAR):
```
MnPb2Cl
1.0
10.617 0.000 0.000
0.000 3.435 0.000
-0.689 0.000 5.726
Mn Pb Cl
2 4 2
Cartesian
0.000 0.000 0.000
5.308 1.717 0.000
2.266 1.717 1.366
2.353 0.000 4.361
7.575 0.000 1.366
7.662 1.717 4.361
-0.344 1.717 2.863
4.964 0.000 2.863
```

***

The structure with the greatest stability is model x.

***

Model w:
Density functional theory data (PBE) for crystalline MnPb2Cl at its relaxed geometry.

Summary:
- total magnetic moment (μB/f.u.) = 4.53
- symmetry = Pmmm

Structure (POSCAR):
```
MnPb2Cl
1.0
3.383 0.000 0.000
0.000 5.051 0.000
0.000 0.000 6.204
Mn Pb Cl
1 2 1
Cartesian
0.000 0.000 0.000
0.000 2.526 3.102
1.692 2.526 0.000
1.692 0.000 3.102
```

***

Model x:
Density functional theory data (PBE) for crystalline MnPb2Cl at its relaxed geometry.

Summary:
- total magnetic moment (μB/f.u.) = 3.44
- symmetry = P4/mmm

Structure (POSCAR):
```
MnPb2Cl
1.0
3.473 0.000 0.000
0.000 3.473 0.000
0.000 0.000 8.173
Mn Pb Cl
1 2 1
Cartesian
0.000 0.000 0.000
1.736 1.736 1.840
1.736 1.736 6.332
0.000 0.000 4.086
```

***

The structure with the greatest stability is model x.